[1]
The following is a PBE calculation of a geometry-optimized KP2H structure, from Alexandria via LeMat-Bulk.

abc: 5.9480 5.9480 5.9480
angles: 121.77 121.77 86.96
Positions (direct):
K1 0.3750 0.6250 0.7500
K2 0.6250 0.3750 0.2500
P1 0.0000 0.0000 0.0000
P2 0.0000 0.0000 0.5000
P3 0.0000 0.5000 0.0000
P4 0.5000 0.0000 0.5000
H1 0.1250 0.8750 0.2500
H2 0.8750 0.1250 0.7500

As for the density of states at the Fermi level: 2.73 states/eV/cell. The space group is I4_1/amd, No. 141. The calculation puts the spin magnetization at 0.00 μB/f.u. The density comes out at 2.34 g/cm³.



[2]
The following is a PBE calculation of a geometry-optimized KP2H structure, from Alexandria via LeMat-Bulk.

abc: 4.7411 4.7411 4.7411
angles: 60.00 60.00 60.00
Positions (direct):
K1 0.0000 0.0000 0.0000
P1 0.2500 0.2500 0.2500
P2 0.7500 0.7500 0.7500
H1 0.5000 0.5000 0.5000

As for the density of states at the Fermi level: 2.34 states/eV/cell. The space group is Fm-3m, No. 225. The calculation puts the spin magnetization at 0.00 μB/f.u. The density comes out at 2.25 g/cm³.



[3]
The following is a PBE calculation of a geometry-optimized KP2H4 structure, from Alexandria via LeMat-Bulk.

abc: 4.2501 5.4984 6.3929
angles: 65.54 70.61 76.88
Positions (direct):
K1 0.0000 0.0000 0.0000
P1 0.2941 0.9682 0.4309
P2 0.7059 0.0318 0.5691
H1 0.3043 0.6884 0.5756
H2 0.4647 0.4397 0.0540
H3 0.5353 0.5603 0.9460
H4 0.6957 0.3116 0.4244

As for the density of states at the Fermi level: 2.93 states/eV/cell. The space group is P-1, No. 2. The calculation puts the spin magnetization at 0.00 μB/f.u. The density comes out at 1.37 g/cm³.



Calculated DFT total energy in order - -3.47; -2.54; -3.74 eV/atom